# 1
{"formula": "TlHgPd2", "functional": "PBE", "state": "optimized geometry", "lattice": [[3.436, 0.000, 0.000], [0.000, 3.436, 0.000], [0.000, 0.000, 6.380]], "species": ["Tl", "Hg", "Pd", "Pd"], "frac_coords": [[0.000, 0.000, 0.000], [0.000, 0.000, 0.500], [0.500, 0.500, 0.253], [0.500, 0.500, 0.747]], "spacegroup": "P4/mmm", "mass_density_g_cm3": 13.6, "e_tot_ev_per_cell": -13.541, "total_magnetization_mub_per_fu": 0.0}

---

# 2
{"formula": "YNb3S", "functional": "PBE", "state": "optimized geometry", "lattice": [[4.979, 0.000, 0.000], [0.000, 4.979, 0.000], [0.000, 0.000, 4.979]], "species": ["Y", "Nb", "Nb", "Nb", "S"], "frac_coords": [[0.000, 0.000, 0.000], [0.000, 0.000, 0.500], [0.000, 0.500, 0.000], [0.500, 0.000, 0.000], [0.500, 0.500, 0.500]], "spacegroup": "Pm-3m", "mass_density_g_cm3": 5.4, "total_magnetization_mub_per_fu": 0.0, "e_form_raw_ev_per_atom": 2.2071}

---

# 3
{"formula": "KMn2Tl", "functional": "PBE", "state": "optimized geometry", "lattice": [[9.816, 0.000, 0.000], [0.000, 3.121, 0.000], [-0.675, 0.000, 7.001]], "species": ["K", "K", "Mn", "Mn", "Mn", "Mn", "Tl", "Tl"], "frac_coords": [[0.000, 0.000, 0.000], [0.500, 0.500, 0.000], [0.235, 0.000, 0.648], [0.265, 0.500, 0.352], [0.735, 0.500, 0.648], [0.765, 0.000, 0.352], [0.000, 0.500, 0.500], [0.500, 0.000, 0.500]], "spacegroup": "C2/m", "mass_density_g_cm3": 5.5, "e_tot_ev_per_cell": -38.058, "total_magnetization_mub_per_fu": 7.8}

---

# 4
{"formula": "Ba2MgAgN", "functional": "PBE", "state": "optimized geometry", "lattice": [[5.847, 0.000, 0.000], [0.000, 5.847, 0.000], [0.000, 0.000, 4.159]], "species": ["Ba", "Ba", "Mg", "Ag", "N"], "frac_coords": [[0.000, 0.500, 0.000], [0.500, 0.000, 0.000], [0.000, 0.000, 0.500], [0.500, 0.500, 0.500], [0.000, 0.000, 0.000]], "spacegroup": "P4/mmm", "mass_density_g_cm3": 4.9, "total_magnetization_mub_per_fu": 0.0, "e_form_raw_ev_per_atom": -0.2797}

---

# 5
{"formula": "Mg2TiO4", "functional": "PBE", "state": "optimized geometry", "lattice": [[5.148, 0.000, 0.000], [0.000, 9.636, 0.000], [0.000, 0.000, 2.966]], "species": ["Mg", "Mg", "Mg", "Mg", "Ti", "Ti", "O", "O", "O", "O", "O", "O", "O", "O"], "frac_coords": [[0.021, 0.210, 0.000], [0.479, 0.710, 0.000], [0.521, 0.290, 0.000], [0.979, 0.790, 0.000], [0.000, 0.500, 0.500], [0.500, 0.000, 0.500], [0.206, 0.676, 0.500], [0.209, 0.422, 0.000], [0.291, 0.922, 0.000], [0.294, 0.176, 0.500], [0.706, 0.824, 0.500], [0.709, 0.078, 0.000], [0.791, 0.578, 0.000], [0.794, 0.324, 0.500]], "spacegroup": "Pbam", "mass_density_g_cm3": 3.6, "total_magnetization_mub_per_fu": 0.0, "e_form_raw_ev_per_atom": -2.8170}

---

# 6
{"formula": "TiZnCrS4", "functional": "PBE", "state": "optimized geometry", "lattice": [[-3.510, 3.624, 5.036], [3.510, -3.624, 5.036], [3.510, 3.624, -5.036]], "species": ["Ti", "Ti", "Zn", "Zn", "Cr", "Cr", "S", "S", "S", "S", "S", "S", "S", "S"], "frac_coords": [[0.500, 0.000, 0.000], [0.500, 0.500, 0.500], [0.121, 0.371, 0.750], [0.879, 0.629, 0.250], [0.000, 0.000, 0.000], [0.500, 0.000, 0.500], [0.252, 0.240, 0.012], [0.255, 0.234, 0.479], [0.255, 0.776, 0.021], [0.273, 0.760, 0.512], [0.727, 0.240, 0.488], [0.745, 0.224, 0.979], [0.745, 0.766, 0.521], [0.748, 0.760, 0.988]], "spacegroup": "Imma", "mass_density_g_cm3": 3.8, "total_magnetization_mub_per_fu": 2.1, "e_form_raw_ev_per_atom": -0.9569}